YRe2AgHg (PBE, relaxed); total DFT energy (no corrections) = -4.50 eV per atom; N(E_F) = 4.7 states/eV/cell
1.0
-2.527 0.674 -4.246
-2.823 -4.331 0.993
-3.366 2.754 2.440
Re Y Hg Ag
2 1 1 1
Cartesian
-1.264 0.337 -2.123 Re
-1.683 1.377 1.220 Re
0.000 0.000 0.000 Y
-4.358 -0.452 -0.406 Hg
-1.412 -2.166 0.497 Ag


Ag2HgRh (PBE, relaxed); total DFT energy (no corrections) = -3.14 eV per atom; N(E_F) = 3.1 states/eV/cell
1.0
-2.087 -6.179 6.967
-0.882 -8.061 5.032
0.845 -6.547 6.892
Hg Ag Rh
1 2 1
Cartesian
-1.068 -10.450 9.496 Hg
-2.120 -20.745 18.852 Ag
-1.589 -15.554 14.135 Ag
-0.533 -5.220 4.744 Rh


AgHgRh4 (PBE, relaxed); total DFT energy (no corrections) = -5.09 eV per atom; N(E_F) = 10.9 states/eV/cell
1.0
0.000 3.683 3.683
3.683 0.000 3.683
3.683 3.683 0.000
Rh Ag Hg
4 1 1
Cartesian
2.763 4.603 2.763 Rh
4.603 4.603 4.603 Rh
4.603 2.763 2.763 Rh
2.763 2.763 4.603 Rh
1.842 1.842 1.842 Ag
0.000 0.000 0.000 Hg


AgHg2Rh2 (PBE, relaxed); total DFT energy (no corrections) = -3.39 eV per atom; N(E_F) = 12.3 states/eV/cell
1.0
-3.948 -5.127 3.402
6.136 -3.584 1.718
0.222 1.812 2.989
Rh Hg Ag
4 4 2
Cartesian
3.878 -5.020 2.756 Rh
1.763 -1.992 1.077 Rh
-1.691 -3.691 2.364 Rh
0.425 -6.720 4.043 Rh
-0.160 -1.397 2.911 Hg
-1.138 -4.542 4.891 Hg
3.548 -2.357 3.218 Hg
2.570 -5.502 5.198 Hg
0.000 0.000 0.000 Ag
1.094 -4.356 2.560 Ag


Ag4HgRh (PBE, relaxed); total DFT energy (no corrections) = -2.83 eV per atom; N(E_F) = 3.3 states/eV/cell
1.0
-4.884 -0.242 -2.305
-4.064 2.980 1.958
-1.867 4.214 -2.825
Ag Rh Hg
4 1 1
Cartesian
-6.500 2.484 -2.344 Ag
-4.052 2.605 -1.189 Ag
-4.988 4.717 -2.605 Ag
-6.089 4.098 -0.208 Ag
0.000 0.000 0.000 Rh
-8.111 5.214 -2.380 Hg


Ag2HgRh (PBE, relaxed); total DFT energy (no corrections) = -3.18 eV per atom; N(E_F) = 3.0 states/eV/cell
1.0
3.047 0.000 0.000
0.000 3.848 0.000
0.000 0.000 6.033
Ag Rh Hg
2 1 1
Cartesian
0.000 1.924 4.582 Ag
1.524 0.000 0.025 Ag
0.000 1.924 1.516 Rh
1.524 0.000 2.926 Hg


Ag2HgRh (PBE, relaxed); total DFT energy (no corrections) = -3.14 eV per atom; N(E_F) = 3.0 states/eV/cell
1.0
-4.962 0.651 -0.807
0.872 -2.221 4.473
0.138 2.652 1.290
Ag Rh Hg
2 1 1
Cartesian
0.436 -1.111 2.236 Ag
-2.481 0.325 -0.404 Ag
-1.976 0.541 2.478 Rh
0.069 1.326 0.645 Hg


Ag2HgRh (PBE, relaxed); total DFT energy (no corrections) = -3.15 eV per atom; N(E_F) = 2.8 states/eV/cell
1.0
-2.736 0.098 4.090
0.864 -2.774 0.645
3.862 1.600 2.545
Hg Ag Rh
1 2 1
Cartesian
0.563 0.849 3.318 Hg
3.141 0.524 2.089 Ag
1.585 -1.699 1.101 Ag
-0.936 -1.338 2.368 Rh